VASP calculation (PBEsol) on an optimized crystal structure of LiPAu.

Cell and atoms, written as extended XYZ:
```
3
Lattice="4.191 0.000 0.000 -2.096 3.630 0.000 0.000 0.000 3.045" Properties=species:S:1:pos:R:3 pbc="T T T"
Li 0.000 0.000 0.000
P 0.000 2.420 1.522
Au 2.096 1.210 1.522
```

As for the space group: P-6m2. The volume comes out at 46.3 Å³/cell. For the formation energy, the calculation gives -0.3898 eV/atom.


VASP calculation (PBEsol) on an optimized crystal structure of CaZn2Hg.

Cell and atoms, written as extended XYZ:
```
4
Lattice="4.354 0.000 0.000 0.000 4.354 0.000 0.000 0.000 4.320" Properties=species:S:1:pos:R:3 pbc="T T T"
Ca 0.000 0.000 0.000
Zn 0.000 2.177 2.160
Zn 2.177 0.000 2.160
Hg 2.177 2.177 0.000
```

As for the space group: P4/mmm. The volume comes out at 81.9 Å³/cell. For the formation energy, the calculation gives -0.1801 eV/atom.


VASP calculation (PBEsol) on an optimized crystal structure of CoSi2Ni.

Cell and atoms, written as extended XYZ:
```
4
Lattice="3.075 0.000 0.000 0.000 3.075 0.000 0.000 0.000 4.707" Properties=species:S:1:pos:R:3 pbc="T T T"
Co 0.000 0.000 0.000
Si 0.000 0.000 2.380
Si 1.538 1.538 3.872
Ni 1.538 1.538 1.527
```

As for the space group: P4mm. The volume comes out at 44.5 Å³/cell. As for the formation energy without anion corrections: -0.56 eV per atom.


VASP calculation (PBEsol) on an optimized crystal structure of TcBSe3.

Cell and atoms, written as extended XYZ:
```
5
Lattice="4.268 0.000 0.000 0.000 4.268 0.000 0.000 0.000 4.268" Properties=species:S:1:pos:R:3 pbc="T T T"
Tc 0.000 0.000 0.000
B 2.134 2.134 2.134
Se 0.000 2.134 2.134
Se 2.134 0.000 2.134
Se 2.134 2.134 0.000
```

As for the space group: Pm-3m. The volume comes out at 77.7 Å³/cell. As for the formation energy without anion corrections: 0.94 eV per atom.


VASP calculation (PBEsol) on an optimized crystal structure of PrAl3Ni2.

Cell and atoms, written as extended XYZ:
```
6
Lattice="5.313 0.000 0.000 -2.656 4.601 0.000 0.000 0.000 3.981" Properties=species:S:1:pos:R:3 pbc="T T T"
Pr 0.000 0.000 0.000
Al -1.328 2.301 1.991
Al 2.656 0.000 1.991
Al 1.328 2.301 1.991
Ni 0.000 3.067 0.000
Ni 2.656 1.534 0.000
```

As for the space group: P6/mmm. The volume comes out at 97.3 Å³/cell. For the formation energy, the calculation gives -0.5927 eV/atom.


VASP calculation (PBEsol) on an optimized crystal structure of SrLaIrOs2.

Cell and atoms, written as extended XYZ:
```
5
Lattice="4.833 0.000 0.000 0.000 4.833 0.000 0.000 0.000 5.165" Properties=species:S:1:pos:R:3 pbc="T T T"
Sr 0.000 0.000 0.000
La 2.416 2.416 0.000
Ir 0.000 0.000 2.582
Os 0.000 2.416 2.582
Os 2.416 0.000 2.582
```

As for the space group: P4/mmm. The volume comes out at 120.6 Å³/cell. For the formation energy, the calculation gives 0.9935 eV/atom.


VASP calculation (PBEsol) on an optimized crystal structure of MgRuSeBr2.

Cell and atoms, written as extended XYZ:
```
5
Lattice="4.943 0.000 0.000 0.000 4.943 0.000 0.000 0.000 5.190" Properties=species:S:1:pos:R:3 pbc="T T T"
Mg 0.000 0.000 0.000
Ru 2.471 2.471 2.595
Se 0.000 0.000 2.595
Br 0.000 2.471 0.000
Br 2.471 0.000 0.000
```

As for the space group: P4/mmm. The volume comes out at 126.8 Å³/cell. As for the formation energy without anion corrections: 0.49 eV per atom.


VASP calculation (PBEsol) on an optimized crystal structure of TaMnBe2Cd.

Cell and atoms, written as extended XYZ:
```
5
Lattice="4.194 0.000 0.000 0.000 4.194 0.000 0.000 0.000 4.381" Properties=species:S:1:pos:R:3 pbc="T T T"
Ta 0.000 0.000 0.000
Mn 0.000 0.000 2.191
Be 0.000 2.097 2.191
Be 2.097 0.000 2.191
Cd 2.097 2.097 0.000
```

As for the space group: P4/mmm. The volume comes out at 77.1 Å³/cell. For the formation energy, the calculation gives 0.8112 eV/atom.


VASP calculation (PBEsol) on an optimized crystal structure of SnB3As.

Cell and atoms, written as extended XYZ:
```
5
Lattice="4.167 0.000 0.000 0.000 4.167 0.000 0.000 0.000 4.167" Properties=species:S:1:pos:R:3 pbc="T T T"
Sn 0.000 0.000 0.000
B 0.000 2.083 2.083
B 2.083 0.000 2.083
B 2.083 2.083 0.000
As 2.083 2.083 2.083
```

As for the space group: Pm-3m. The volume comes out at 72.3 Å³/cell. For the formation energy, the calculation gives 1.6447 eV/atom.


VASP calculation (PBEsol) on an optimized crystal structure of BaMnRh2.

Cell and atoms, written as extended XYZ:
```
4
Lattice="3.114 0.000 0.000 0.000 3.114 0.000 0.000 0.000 7.502" Properties=species:S:1:pos:R:3 pbc="T T T"
Ba 0.000 0.000 0.000
Mn 0.000 0.000 3.751
Rh 1.557 1.557 2.390
Rh 1.557 1.557 5.113
```

As for the space group: P4/mmm. The volume comes out at 72.8 Å³/cell. For the formation energy, the calculation gives 0.2417 eV/atom.


VASP calculation (PBEsol) on an optimized crystal structure of LiTcH2Se.

Cell and atoms, written as extended XYZ:
```
5
Lattice="3.602 0.000 0.000 0.000 3.602 0.000 0.000 0.000 4.691" Properties=species:S:1:pos:R:3 pbc="T T T"
Li 0.000 0.000 0.000
Tc 1.801 1.801 2.346
H 0.000 1.801 2.346
H 1.801 0.000 2.346
Se 1.801 1.801 0.000
```

As for the space group: P4/mmm. The volume comes out at 60.9 Å³/cell. Its calculated total energy is -24.0 eV for the cell shown.


VASP calculation (PBEsol) on an optimized crystal structure of MnTl2As.

Cell and atoms, written as extended XYZ:
```
4
Lattice="3.768 0.000 0.000 0.000 3.768 0.000 0.000 0.000 6.071" Properties=species:S:1:pos:R:3 pbc="T T T"
Mn 0.000 0.000 0.000
Tl 1.884 1.884 1.510
Tl 1.884 1.884 4.560
As 0.000 0.000 3.035
```

As for the space group: P4/mmm. The volume comes out at 86.2 Å³/cell. For the formation energy, the calculation gives 0.4894 eV/atom. The value obtained for the excess energy over the best structure of this formula in the dataset is 0.229 eV per atom.


VASP calculation (PBEsol) on an optimized crystal structure of RhI3.

Cell and atoms, written as extended XYZ:
```
8
Lattice="3.379 -5.849 0.000 3.379 5.849 0.000 -2.006 0.000 6.475" Properties=species:S:1:pos:R:3 pbc="T T T"
Rh 3.379 3.900 0.000
Rh 3.379 -3.900 0.000
I 0.177 2.071 4.990
I 0.987 0.000 1.494
I 0.177 -2.071 4.990
I 4.573 2.071 1.485
I 3.764 0.000 4.981
I 4.573 -2.071 1.485
```

As for the space group: C2/m. The volume comes out at 255.9 Å³/cell. As for the formation energy without anion corrections: -0.28 eV per atom.